# 1
Below is a geometry-optimized Ce3Be2GaPt9 structure, with properties calculated at the PBE-GGA level.

Properties
* density of states at the Fermi level: 18.4 states/eV/f.u.
* energy of formation: -806 meV/atom

a = 5.775 Å, b = 5.775 Å, c = 9.607 Å
α = 90.00°, β = 90.00°, γ = 120.00°
Site moments in Bohr magnetons follow the coordinates.
Fractional positions:
1 Ce 0.333 0.667 0.625  0.67
2 Ce 0.000 0.000 0.000  0.47
3 Ce 0.667 0.333 0.375  0.67
4 Be 0.333 0.667 0.152  0.00
5 Be 0.667 0.333 0.848  0.00
6 Ga 0.000 0.000 0.500  0.00
7 Pt 0.835 0.165 0.700  -0.01
8 Pt 0.835 0.670 0.700  -0.01
9 Pt 0.330 0.165 0.700  -0.01
10 Pt 0.670 0.835 0.300  -0.01
11 Pt 0.165 0.330 0.300  -0.01
12 Pt 0.165 0.835 0.300  -0.01
13 Pt 0.500 0.000 0.000  -0.01
14 Pt 0.000 0.500 0.000  -0.01
15 Pt 0.500 0.500 0.000  -0.01


# 2
Below is a geometry-optimized NiGeBi3 structure, with properties calculated at the PBE-GGA level.

Properties
* density of states at the Fermi level: 5.6 states/eV/f.u.
* energy of formation: 1087 meV/atom

a = 5.463 Å, b = 5.463 Å, c = 5.463 Å
α = 90.00°, β = 90.00°, γ = 90.00°
Site moments in Bohr magnetons follow the coordinates.
Fractional positions:
1 Ni 0.500 0.500 0.500  0.61
2 Ge 0.000 0.000 0.000  0.00
3 Bi 0.000 0.500 0.000  -0.04
4 Bi 0.000 0.000 0.500  -0.04
5 Bi 0.500 0.000 0.000  -0.01


Please write out number 1 again, unchanged.
Below is a geometry-optimized Ce3Be2GaPt9 structure, with properties calculated at the PBE-GGA level.

Properties
* density of states at the Fermi level: 18.4 states/eV/f.u.
* energy of formation: -806 meV/atom

a = 5.775 Å, b = 5.775 Å, c = 9.607 Å
α = 90.00°, β = 90.00°, γ = 120.00°
Site moments in Bohr magnetons follow the coordinates.
Fractional positions:
1 Ce 0.333 0.667 0.625  0.67
2 Ce 0.000 0.000 0.000  0.47
3 Ce 0.667 0.333 0.375  0.67
4 Be 0.333 0.667 0.152  0.00
5 Be 0.667 0.333 0.848  0.00
6 Ga 0.000 0.000 0.500  0.00
7 Pt 0.835 0.165 0.700  -0.01
8 Pt 0.835 0.670 0.700  -0.01
9 Pt 0.330 0.165 0.700  -0.01
10 Pt 0.670 0.835 0.300  -0.01
11 Pt 0.165 0.330 0.300  -0.01
12 Pt 0.165 0.835 0.300  -0.01
13 Pt 0.500 0.000 0.000  -0.01
14 Pt 0.000 0.500 0.000  -0.01
15 Pt 0.500 0.500 0.000  -0.01


Q: energy of formation of number 2 (NiGeBi3)?
A: 1087 meV/atom


Q: What is the energy of formation in the first record?
A: -806 meV/atom